A relaxed structure of CeCo4Ge2, computed with GGA-PBE.

Cell and atoms, written as extended XYZ:
```
14
Lattice="7.325 0.000 0.000 0.000 7.325 0.000 0.000 0.000 3.729" Properties=species:S:1:pos:R:3 pbc="T T T"
Ce 0.000 0.000 0.000
Ce 3.663 3.663 1.864
Co 0.606 2.592 1.864
Co 1.071 4.269 0.000
Co 2.592 0.606 1.864
Co 3.056 6.255 0.000
Co 4.269 1.071 0.000
Co 4.733 6.719 1.864
Co 6.255 3.056 0.000
Co 6.719 4.733 1.864
Ge 1.621 5.704 1.864
Ge 2.042 2.042 0.000
Ge 5.284 5.284 0.000
Ge 5.704 1.621 1.864
```

Results
**Density of states at the Fermi level**: 18.7 states/eV/cell
**Magnetic moment**: 2.27 μB per formula unit
**Polymorph energy (0 for the lowest one)**: 0.0 meV/atom


A relaxed structure of CsCl2F2, computed with GGA-PBE.

Cell and atoms, written as extended XYZ:
```
10
Lattice="8.242 0.000 0.000 0.000 8.242 0.000 0.000 0.000 3.929" Properties=species:S:1:pos:R:3 pbc="T T T"
Cs 0.000 0.000 0.000
Cs 4.121 4.121 0.000
Cl 0.700 3.421 1.965
Cl 3.421 7.542 1.965
Cl 4.821 0.700 1.965
Cl 7.542 4.821 1.965
F 1.916 2.205 0.000
F 2.205 6.326 0.000
F 6.037 1.916 0.000
F 6.326 6.037 0.000
```

Results
**Density of states at the Fermi level**: 0.0 states/eV/cell
**Magnetic moment**: 1.00 μB per formula unit
**Polymorph energy (0 for the lowest one)**: 0.0 meV/atom
**Uncorrected formation energy**: -1.032 eV per atom